A relaxed structure of SrScAl2Tc, computed with PBE.

Calculated values
Energy: -5.33 eV per atom
ΔE_f: -0.162 eV/atom
Total moment: 0.00 μB/cell
Fermi-level density of states: 0.621 states/eV per atom

Cell: 4.982 4.982 4.897 Å, 90.00 90.00 90.00°
Sites, in units of the cell vectors:
Tc (0.000, 0.000, 0.000)
Al (0.500, 0.000, 0.000)
Sr (0.500, 0.500, 0.500)
Al (0.000, 0.500, 0.000)
Sc (0.000, 0.000, 0.500)